1:
## BSeI3 (PBEsol)

Data for an optimized crystal structure of BSeI3.

```
5
Lattice="5.610 0.000 0.000 0.000 5.610 0.000 0.000 0.000 5.610" Properties=species:S:1:pos:R:3 pbc="T T T"
B 0.000 0.000 0.000
Se 2.805 2.805 2.805
I 0.000 2.805 2.805
I 2.805 0.000 2.805
I 2.805 2.805 0.000
```

The value obtained for the calculated volume is 35.321 Å³ per atom. As for the theoretical density: 4.42 Mg/m³. As for the crystal system: cubic. The symmetry is Pm-3m (221).


2:
## BSeI3 (PBEsol)

Data for an optimized crystal structure of BSeI3.

```
5
Lattice="4.988 0.000 0.000 0.000 4.988 0.000 0.000 0.000 4.988" Properties=species:S:1:pos:R:3 pbc="T T T"
B 0.000 0.000 0.000
Se 2.494 2.494 2.494
I 0.000 0.000 2.494
I 0.000 2.494 0.000
I 2.494 0.000 0.000
```

The value obtained for the calculated volume is 24.815 Å³ per atom. As for the theoretical density: 6.30 Mg/m³. As for the crystal system: cubic. The symmetry is Pm-3m (221).


Energetically preferred structure: 2 | next structure: +0.290 eV/atom


1:
## KMg3B (PBEsol)

Data for an optimized crystal structure of KMg3B.

```
5
Lattice="4.837 0.000 0.000 0.000 4.837 0.000 0.000 0.000 4.837" Properties=species:S:1:pos:R:3 pbc="T T T"
K 0.000 0.000 0.000
Mg 0.000 2.419 2.419
Mg 2.419 0.000 2.419
Mg 2.419 2.419 0.000
B 2.419 2.419 2.419
```

The value obtained for the calculated volume is 22.639 Å³ per atom. As for the theoretical density: 1.80 Mg/m³. As for the crystal system: cubic. The symmetry is Pm-3m (221).


2:
## KMg3B (PBEsol)

Data for an optimized crystal structure of KMg3B.

```
5
Lattice="6.132 0.000 0.000 0.000 6.132 0.000 0.000 0.000 6.132" Properties=species:S:1:pos:R:3 pbc="T T T"
K 0.000 0.000 0.000
Mg 0.000 0.000 3.066
Mg 0.000 3.066 0.000
Mg 3.066 0.000 0.000
B 3.066 3.066 3.066
```

The value obtained for the calculated volume is 46.109 Å³ per atom. As for the theoretical density: 0.88 Mg/m³. As for the crystal system: cubic. The symmetry is Pm-3m (221).


Energetically preferred structure: 1 | next structure: +1.635 eV/atom


1:
## K2MgB (PBEsol)

Data for an optimized crystal structure of K2MgB.

```
8
Lattice="-5.950 5.950 2.264 5.950 -5.950 2.264 5.950 5.950 -2.264" Properties=species:S:1:pos:R:3 pbc="T T T"
K 0.807 2.975 0.566
K -2.975 5.143 1.698
K -0.807 8.926 0.566
K 2.975 6.757 1.698
Mg 5.950 0.000 1.132
Mg 0.000 0.000 2.264
B 0.000 0.000 0.000
B 0.000 5.950 1.132
```

The value obtained for the calculated volume is 40.080 Å³ per atom. As for the theoretical density: 1.17 Mg/m³. As for the crystal system: tetragonal. The symmetry is I-42d (122).


2:
## K2MgB (PBEsol)

Data for an optimized crystal structure of K2MgB.

```
4
Lattice="0.000 3.950 3.950 3.950 0.000 3.950 3.950 3.950 0.000" Properties=species:S:1:pos:R:3 pbc="T T T"
K 1.975 1.975 1.975
K 5.924 5.924 5.924
Mg 0.000 0.000 0.000
B 3.950 3.950 3.950
```

The value obtained for the calculated volume is 30.804 Å³ per atom. As for the theoretical density: 1.53 Mg/m³. As for the crystal system: cubic. The symmetry is Fm-3m (225).


Energetically preferred structure: 1 | next structure: +0.432 eV/atom


1:
## KBP2S (PBEsol)

Data for an optimized crystal structure of KBP2S.

```
5
Lattice="4.173 0.000 0.000 0.000 4.173 0.000 0.000 0.000 4.847" Properties=species:S:1:pos:R:3 pbc="T T T"
K 0.000 0.000 0.000
B 2.087 2.087 2.424
P 0.000 2.087 2.424
P 2.087 0.000 2.424
S 2.087 2.087 0.000
```

The value obtained for the calculated volume is 16.885 Å³ per atom. As for the theoretical density: 2.83 Mg/m³. As for the crystal system: tetragonal. The symmetry is P4/mmm (123).


2:
## KBP2S (PBEsol)

Data for an optimized crystal structure of KBP2S.

```
5
Lattice="5.161 0.000 0.000 0.000 5.161 0.000 0.000 0.000 5.197" Properties=species:S:1:pos:R:3 pbc="T T T"
K 0.000 0.000 0.000
B 2.580 2.580 2.598
P 0.000 2.580 0.000
P 2.580 0.000 0.000
S 0.000 0.000 2.598
```

The value obtained for the calculated volume is 27.679 Å³ per atom. As for the theoretical density: 1.73 Mg/m³. As for the crystal system: tetragonal. The symmetry is P4/mmm (123).


Energetically preferred structure: 1 | next structure: +2.112 eV/atom


1:
## K2BPb (PBEsol)

Data for an optimized crystal structure of K2BPb.

```
8
Lattice="-6.152 6.152 2.286 6.152 -6.152 2.286 6.152 6.152 -2.286" Properties=species:S:1:pos:R:3 pbc="T T T"
K -0.460 3.076 0.571
K 3.076 5.691 1.714
K 0.460 9.227 0.571
K -3.076 6.612 1.714
B 0.000 0.000 0.000
B 0.000 6.152 1.143
Pb 6.152 0.000 1.143
Pb 0.000 0.000 2.286
```

The value obtained for the calculated volume is 43.247 Å³ per atom. As for the theoretical density: 2.84 Mg/m³. As for the crystal system: tetragonal. The symmetry is I-42d (122).


2:
## K2BPb (PBEsol)

Data for an optimized crystal structure of K2BPb.

```
4
Lattice="0.000 3.904 3.904 3.904 0.000 3.904 3.904 3.904 0.000" Properties=species:S:1:pos:R:3 pbc="T T T"
K 1.952 1.952 1.952
K 5.857 5.857 5.857
B 0.000 0.000 0.000
Pb 3.904 3.904 3.904
```

The value obtained for the calculated volume is 29.759 Å³ per atom. As for the theoretical density: 4.13 Mg/m³. As for the crystal system: cubic. The symmetry is Fm-3m (225).


Energetically preferred structure: 1 | next structure: +0.468 eV/atom


1:
## LaSc3B4O12 (PBEsol)

Data for an optimized crystal structure of LaSc3B4O12.

```
40
Lattice="3.838 -4.950 0.000 3.838 4.950 0.000 -3.130 0.000 11.610" Properties=species:S:1:pos:R:3 pbc="T T T"
La 2.273 4.543 5.805
La 3.838 -4.543 0.000
Sc 2.775 2.474 2.597
Sc 1.793 2.464 9.021
Sc 3.842 0.732 0.003
Sc 2.277 -0.732 5.808
Sc 1.210 -2.474 8.402
Sc 3.358 -2.464 3.216
B 0.654 1.922 6.090
B -0.456 0.240 8.702
B 1.109 -0.240 2.897
B 2.219 -1.922 0.285
B 3.907 1.924 5.527
B 5.021 0.252 2.916
B 3.456 -0.252 8.721
B 2.342 -1.924 11.332
O -1.377 0.900 7.910
O 2.449 2.237 0.513
O 1.125 1.144 2.822
O 1.447 2.552 7.018
O 0.188 -0.900 2.105
O 0.673 0.561 5.886
O 0.435 0.926 9.508
O 3.121 2.562 4.600
O 2.238 -0.561 0.081
O -0.440 -1.144 8.627
O 2.123 2.226 11.105
O 2.000 -0.926 3.703
O 4.130 0.934 2.106
O 0.884 -2.237 6.318
O 3.444 1.132 8.801
O 3.877 0.563 5.728
O 3.012 -2.552 1.213
O 2.565 -0.934 7.911
O 2.312 -0.563 11.533
O 5.938 0.916 3.709
O 1.556 -2.562 10.405
O 5.009 -1.132 2.996
O 3.688 -2.226 5.300
O 4.373 -0.916 9.514
```

The value obtained for the calculated volume is 11.028 Å³ per atom. As for the theoretical density: 3.83 Mg/m³. As for the crystal system: monoclinic. The symmetry is Cc (9).


2:
## LaSc3B4O12 (PBEsol)

Data for an optimized crystal structure of LaSc3B4O12.

```
20
Lattice="4.757 2.746 2.810 -4.757 2.746 2.810 0.000 -5.493 2.810" Properties=species:S:1:pos:R:3 pbc="T T T"
La 0.000 0.000 0.000
Sc -2.402 -1.332 2.810
Sc 2.355 -1.414 2.810
Sc 0.047 2.746 2.810
B -2.338 -4.050 4.214
B 0.000 0.000 4.214
B -2.338 4.050 4.214
B 4.677 0.000 4.214
O -0.784 -1.578 1.565
O -3.451 0.000 4.214
O -0.974 1.468 1.565
O -0.695 -1.203 4.214
O 1.758 0.110 1.565
O 1.726 -2.989 4.214
O -0.695 1.203 4.214
O -0.974 -1.468 6.864
O 1.390 0.000 4.214
O -0.784 1.578 6.864
O 1.726 2.989 4.214
O 1.758 -0.110 6.864
```

The value obtained for the calculated volume is 11.011 Å³ per atom. As for the theoretical density: 3.84 Mg/m³. As for the crystal system: trigonal. The symmetry is R32 (155).


Energetically preferred structure: 1 | next structure: +0.099 eV/atom


1:
## LiB (PBEsol)

Data for an optimized crystal structure of LiB.

```
8
Lattice="6.099 0.000 0.000 0.000 3.072 0.000 0.000 0.000 5.645" Properties=species:S:1:pos:R:3 pbc="T T T"
Li 1.485 0.768 1.368
Li 1.565 2.304 4.191
Li 4.534 0.768 1.454
Li 4.614 2.304 4.277
B 0.004 0.768 2.980
B 3.045 2.304 0.157
B 3.054 0.768 5.488
B 6.095 2.304 2.665
```

The value obtained for the calculated volume is 13.223 Å³ per atom. As for the theoretical density: 1.11 Mg/m³. As for the crystal system: orthorhombic. The symmetry is Pnma (62).


2:
## LiB (PBEsol)

Data for an optimized crystal structure of LiB.

```
4
Lattice="3.974 0.000 0.000 -1.987 3.441 0.000 0.000 0.000 3.113" Properties=species:S:1:pos:R:3 pbc="T T T"
Li 0.000 2.294 0.778
Li 1.987 1.147 2.335
B 0.000 0.000 0.000
B 0.000 0.000 1.557
```

The value obtained for the calculated volume is 10.643 Å³ per atom. As for the theoretical density: 1.38 Mg/m³. As for the crystal system: hexagonal. The symmetry is P6_3/mmc (194).


Energetically preferred structure: 2 | next structure: +0.079 eV/atom


1:
## Li5BO4 (PBEsol)

Data for an optimized crystal structure of Li5BO4.

```
80
Lattice="8.483 0.000 0.000 0.000 8.554 0.000 0.000 0.000 8.826" Properties=species:S:1:pos:R:3 pbc="T T T"
Li 0.620 0.750 0.869
Li 0.620 3.527 5.282
Li 0.823 5.850 7.668
Li 0.823 6.981 3.255
Li 1.128 0.681 3.064
Li 1.128 3.596 7.478
Li 1.164 5.482 1.232
Li 1.164 7.349 5.645
Li 1.573 1.091 5.189
Li 1.573 3.187 0.776
Li 2.668 5.368 5.189
Li 2.668 7.464 0.776
Li 3.077 1.205 1.232
Li 3.077 3.072 5.645
Li 3.114 4.958 3.064
Li 3.114 7.873 7.478
Li 3.419 1.573 7.668
Li 3.419 2.704 3.255
Li 3.621 5.027 0.869
Li 3.621 7.804 5.282
Li 4.861 0.750 3.544
Li 4.861 3.527 7.957
Li 5.064 5.850 5.571
Li 5.064 6.981 1.158
Li 5.369 0.681 1.349
Li 5.369 3.596 5.762
Li 5.405 5.482 3.181
Li 5.405 7.349 7.594
Li 5.814 1.091 8.050
Li 5.814 3.187 3.637
Li 6.910 5.368 8.050
Li 6.910 7.464 3.637
Li 7.319 1.205 3.181
Li 7.319 3.072 7.594
Li 7.355 4.958 1.349
Li 7.355 7.873 5.762
Li 7.660 1.573 5.571
Li 7.660 2.704 1.158
Li 7.862 5.027 3.544
Li 7.862 7.804 7.957
B 1.100 1.239 7.547
B 1.100 3.038 3.134
B 3.141 5.516 7.547
B 3.141 7.315 3.134
B 5.341 1.239 5.693
B 5.341 3.038 1.279
B 7.383 5.516 5.693
B 7.383 7.315 1.279
O 0.247 2.116 8.444
O 0.247 2.161 4.031
O 0.313 0.307 6.657
O 0.313 3.970 2.244
O 1.895 2.138 2.257
O 1.895 2.139 6.670
O 2.037 0.459 8.492
O 2.037 3.818 4.079
O 2.204 4.736 8.492
O 2.204 8.095 4.079
O 2.347 6.415 2.257
O 2.347 6.416 6.670
O 3.928 4.584 6.657
O 3.928 8.247 2.244
O 3.995 6.393 8.444
O 3.995 6.438 4.031
O 4.488 2.116 4.795
O 4.488 2.161 0.382
O 4.554 0.307 6.582
O 4.554 3.970 2.169
O 6.136 2.138 2.156
O 6.136 2.139 6.569
O 6.278 0.459 4.747
O 6.278 3.818 0.334
O 6.446 4.736 4.747
O 6.446 8.095 0.334
O 6.588 6.415 2.156
O 6.588 6.416 6.569
O 8.169 4.584 6.582
O 8.169 8.247 2.169
O 8.236 6.393 4.795
O 8.236 6.438 0.382
```

The value obtained for the calculated volume is 8.005 Å³ per atom. As for the theoretical density: 2.27 Mg/m³. As for the crystal system: orthorhombic. The symmetry is Pbca (61).


2:
## Li5BO4 (PBEsol)

Data for an optimized crystal structure of Li5BO4.

```
20
Lattice="5.870 0.000 0.000 0.000 5.998 0.000 0.000 0.000 4.520" Properties=species:S:1:pos:R:3 pbc="T T T"
Li 0.059 0.312 1.090
Li 0.059 2.687 1.090
Li 1.467 4.498 1.474
Li 2.876 0.312 1.090
Li 2.876 2.687 1.090
Li 2.994 3.311 3.431
Li 2.994 5.686 3.431
Li 4.402 1.499 3.046
Li 5.811 3.311 3.431
Li 5.811 5.686 3.431
B 1.467 1.499 3.257
B 4.402 4.498 1.264
O 0.207 1.499 4.090
O 1.467 0.242 2.405
O 1.467 2.757 2.405
O 2.728 1.499 4.090
O 3.142 4.498 0.430
O 4.402 3.241 2.116
O 4.402 5.756 2.116
O 5.662 4.498 0.430
```

The value obtained for the calculated volume is 7.957 Å³ per atom. As for the theoretical density: 2.29 Mg/m³. As for the crystal system: orthorhombic. The symmetry is Pmmn (59).


Energetically preferred structure: 2 | next structure: +0.038 eV/atom